(1)
Entry from Alexandria via LeMat-Bulk: crystalline Cs2Te2S5 at its relaxed geometry (PBE-GGA).

```
data_Cs2Te2S5
_symmetry_space_group_name_H-M 'P 1'
_symmetry_Int_Tables_number 1
_cell_length_a 5.293
_cell_length_b 8.481
_cell_length_c 8.594
_cell_angle_alpha 109.52
_cell_angle_beta 90.00
_cell_angle_gamma 108.18
loop_
_symmetry_equiv_pos_as_xyz
'x,y,z'
loop_
_atom_site_label
_atom_site_type_symbol
_atom_site_fract_x
_atom_site_fract_y
_atom_site_fract_z
Cs1 Cs 0.438 0.876 0.686
Cs2 Cs 0.562 0.124 0.314
Te1 Te 0.153 0.305 0.944
Te2 Te 0.847 0.695 0.056
S1 S 0.327 0.654 0.982
S2 S 0.673 0.346 0.018
S3 S 0.094 0.187 0.656
S4 S 0.906 0.813 0.344
S5 S 0.000 0.000 0.000
```

Density of states at the Fermi level (states/eV per cell): 0.042

---

(2)
Entry from Alexandria via LeMat-Bulk: crystalline Cs2TeS4 at its relaxed geometry (PBE-GGA).

```
data_Cs2TeS4
_symmetry_space_group_name_H-M 'P 1'
_symmetry_Int_Tables_number 1
_cell_length_a 7.659
_cell_length_b 7.287
_cell_length_c 10.743
_cell_angle_alpha 90.00
_cell_angle_beta 105.09
_cell_angle_gamma 90.00
loop_
_symmetry_equiv_pos_as_xyz
'x,y,z'
loop_
_atom_site_label
_atom_site_type_symbol
_atom_site_fract_x
_atom_site_fract_y
_atom_site_fract_z
Cs1 Cs 0.719 0.750 0.033
Cs2 Cs 0.281 0.250 0.967
Cs3 Cs 0.217 0.250 0.447
Cs4 Cs 0.783 0.750 0.553
Te1 Te 0.311 0.750 0.223
Te2 Te 0.689 0.250 0.777
S1 S 0.494 0.493 0.278
S2 S 0.190 0.750 0.002
S3 S 0.810 0.250 0.998
S4 S 0.494 0.007 0.278
S5 S 0.913 0.250 0.667
S6 S 0.506 0.993 0.722
S7 S 0.506 0.507 0.722
S8 S 0.087 0.750 0.333
```

---

(3)
Entry from Alexandria via LeMat-Bulk: crystalline CsTe2S at its relaxed geometry (PBE-GGA).

```
data_CsTe2S
_symmetry_space_group_name_H-M 'P 1'
_symmetry_Int_Tables_number 1
_cell_length_a 6.487
_cell_length_b 6.487
_cell_length_c 9.774
_cell_angle_alpha 70.62
_cell_angle_beta 70.62
_cell_angle_gamma 90.00
loop_
_symmetry_equiv_pos_as_xyz
'x,y,z'
loop_
_atom_site_label
_atom_site_type_symbol
_atom_site_fract_x
_atom_site_fract_y
_atom_site_fract_z
Cs1 Cs 0.000 0.000 0.000
Cs2 Cs 0.750 0.250 0.500
S1 S 0.500 0.500 0.000
S2 S 0.250 0.750 0.500
Te1 Te 0.375 0.125 0.250
Te2 Te 0.375 0.625 0.250
Te3 Te 0.375 0.625 0.750
Te4 Te 0.875 0.625 0.750
```

Density of states at the Fermi level (states/eV per cell): 1.715

---

(4)
Entry from Alexandria via LeMat-Bulk: crystalline Cs3Te5S12 at its relaxed geometry (PBE-GGA).

```
data_Cs3Te5S12
_symmetry_space_group_name_H-M 'P 1'
_symmetry_Int_Tables_number 1
_cell_length_a 15.019
_cell_length_b 15.019
_cell_length_c 15.019
_cell_angle_alpha 109.47
_cell_angle_beta 109.47
_cell_angle_gamma 109.47
loop_
_symmetry_equiv_pos_as_xyz
'x,y,z'
loop_
_atom_site_label
_atom_site_type_symbol
_atom_site_fract_x
_atom_site_fract_y
_atom_site_fract_z
Cs1 Cs 0.750 0.375 0.125
Cs2 Cs 0.875 0.750 0.125
Cs3 Cs 0.375 0.750 0.625
Cs4 Cs 0.250 0.125 0.375
Cs5 Cs 0.875 0.125 0.250
Cs6 Cs 0.375 0.625 0.250
Cs7 Cs 0.625 0.375 0.750
Cs8 Cs 0.125 0.875 0.750
Cs9 Cs 0.750 0.875 0.625
Cs10 Cs 0.625 0.250 0.375
Cs11 Cs 0.125 0.250 0.875
Cs12 Cs 0.250 0.625 0.875
Te1 Te 0.125 0.375 0.250
Te2 Te 0.000 0.500 0.000
Te3 Te 0.000 0.000 0.000
Te4 Te 0.375 0.250 0.125
Te5 Te 0.500 0.000 0.500
Te6 Te 0.500 0.500 0.000
Te7 Te 0.125 0.750 0.375
Te8 Te 0.750 0.125 0.875
Te9 Te 0.750 0.625 0.375
Te10 Te 0.375 0.125 0.750
Te11 Te 0.625 0.875 0.250
Te12 Te 0.500 0.500 0.500
Te13 Te 0.500 0.000 0.000
Te14 Te 0.000 0.000 0.500
Te15 Te 0.250 0.375 0.625
Te16 Te 0.250 0.875 0.125
Te17 Te 0.000 0.500 0.500
Te18 Te 0.875 0.250 0.625
Te19 Te 0.625 0.750 0.875
Te20 Te 0.875 0.625 0.750
S1 S 0.689 0.104 0.006
S2 S 0.317 0.506 0.402
S3 S 0.994 0.396 0.311
S4 S 0.506 0.189 0.104
S5 S 0.585 0.689 0.683
S6 S 0.994 0.598 0.183
S7 S 0.317 0.811 0.415
S8 S 0.098 0.915 0.104
S9 S 0.598 0.994 0.683
S10 S 0.689 0.585 0.183
S11 S 0.811 0.494 0.396
S12 S 0.817 0.902 0.006
S13 S 0.104 0.689 0.506
S14 S 0.396 0.402 0.085
S15 S 0.085 0.902 0.396
S16 S 0.415 0.104 0.598
S17 S 0.085 0.183 0.189
S18 S 0.494 0.683 0.098
S19 S 0.817 0.915 0.311
S20 S 0.104 0.415 0.098
S21 S 0.396 0.994 0.811
S22 S 0.598 0.604 0.415
S23 S 0.902 0.817 0.506
S24 S 0.811 0.317 0.915
S25 S 0.402 0.396 0.585
S26 S 0.098 0.183 0.494
S27 S 0.189 0.683 0.085
S28 S 0.183 0.085 0.689
S29 S 0.604 0.006 0.189
S30 S 0.896 0.585 0.902
S31 S 0.506 0.317 0.902
S32 S 0.585 0.896 0.402
S33 S 0.915 0.817 0.811
S34 S 0.915 0.098 0.604
S35 S 0.896 0.311 0.494
S36 S 0.183 0.098 0.994
S37 S 0.604 0.598 0.915
S38 S 0.402 0.006 0.317
S39 S 0.311 0.415 0.817
S40 S 0.189 0.506 0.604
S41 S 0.902 0.085 0.896
S42 S 0.683 0.189 0.585
S43 S 0.494 0.811 0.896
S44 S 0.006 0.402 0.817
S45 S 0.415 0.311 0.317
S46 S 0.006 0.604 0.689
S47 S 0.683 0.494 0.598
S48 S 0.311 0.896 0.994
```

Density of states at the Fermi level (states/eV per cell): 38.619

---

(5)
Entry from Alexandria via LeMat-Bulk: crystalline CsTe2S at its relaxed geometry (PBE-GGA).

```
data_CsTe2S
_symmetry_space_group_name_H-M 'P 1'
_symmetry_Int_Tables_number 1
_cell_length_a 7.246
_cell_length_b 7.246
_cell_length_c 7.246
_cell_angle_alpha 42.07
_cell_angle_beta 42.07
_cell_angle_gamma 42.07
loop_
_symmetry_equiv_pos_as_xyz
'x,y,z'
loop_
_atom_site_label
_atom_site_type_symbol
_atom_site_fract_x
_atom_site_fract_y
_atom_site_fract_z
Cs1 Cs 0.000 0.000 0.000
S1 S 0.500 0.500 0.500
Te1 Te 0.815 0.815 0.815
Te2 Te 0.185 0.185 0.185
```

Density of states at the Fermi level (states/eV per cell): 1.165

---

(6)
Entry from Alexandria via LeMat-Bulk: crystalline CsThTeS at its relaxed geometry (PBE-GGA).

```
data_CsThTeS
_symmetry_space_group_name_H-M 'P 1'
_symmetry_Int_Tables_number 1
_cell_length_a 4.287
_cell_length_b 4.286
_cell_length_c 9.278
_cell_angle_alpha 89.99
_cell_angle_beta 103.41
_cell_angle_gamma 119.96
loop_
_symmetry_equiv_pos_as_xyz
'x,y,z'
loop_
_atom_site_label
_atom_site_type_symbol
_atom_site_fract_x
_atom_site_fract_y
_atom_site_fract_z
Cs1 Cs 0.976 0.386 0.377
Th1 Th 0.289 0.542 0.847
Te1 Te 0.103 0.950 0.068
S1 S 0.510 0.152 0.678
```

Density of states at the Fermi level (states/eV per cell): 3.276

---

Number 1: E_tot -32.5 eV for the cell shown, formation energy without anion corrections -0.4327 eV/atom, theoretical density 3.3 Mg/m³. Number 2: E_tot -50.4 eV for the cell shown, formation energy without anion corrections -0.5523 eV/atom, theoretical density 3.0 Mg/m³. Number 3: E_tot -25.8 eV for the cell shown, formation energy without anion corrections -0.4035 eV/atom, theoretical density 3.8 Mg/m³. Number 4: E_tot -280.4 eV for the cell shown, formation energy without anion corrections -0.1154 eV/atom, theoretical density 3.6 Mg/m³. Number 5: E_tot -12.3 eV for the cell shown, formation energy without anion corrections -0.2498 eV/atom, theoretical density 4.5 Mg/m³. Number 6: E_tot -20.9 eV for the cell shown, formation energy without anion corrections -1.3482 eV/atom, theoretical density 6.1 Mg/m³.